[1]
VASP calculation (PBE-GGA) on a geometry-optimized BaCa2Fe structure.

Its energy relative to the elements is 0.647 eV per atom. For the total energy, the calculation gives -11.8 eV for the cell shown. The distance to the lowest polymorph of the same formula is 263.1 meV per atom. The theoretical density comes out at 3.2 g/cm3.

abc: 7.0839 7.0839 3.7183
angles: 103.09 103.09 120.29
With the nearest neighbours (Å) after each atom.
Positions (direct):
Ba 0.0000 0.0000 0.0000  4 Fe 3.53-3.78, 4 Ca 3.61, 2 Ba 3.72
Ca 0.0000 0.5000 0.5000  6 Ca 3.53-3.78, 2 Ba 3.61, 2 Fe 3.61
Ca 0.5000 0.0000 0.5000  6 Ca 3.53-3.78, 2 Ba 3.61, 2 Fe 3.61
Fe 0.5000 0.5000 0.0000  4 Ba 3.53-3.78, 4 Ca 3.61, 2 Fe 3.72


[2]
VASP calculation (PBE-GGA) on a geometry-optimized Cu3BO5 structure.

The calculation puts the uncorrected formation energy at -1.043 eV/atom. For the total energy, the calculation gives -212.6 eV for the cell shown. The theoretical density comes out at 4.8 g/cm3.

abc: 3.4269 9.6371 11.9117
angles: 90.00 94.04 90.00
With the nearest neighbours (Å) after each atom.
Positions (direct):
Cu 0.0000 0.0000 0.0000  4 O 1.90-1.94
Cu 0.0000 0.5000 0.5000  4 O 1.90-1.94
Cu 0.1142 0.0243 0.2727  4 O 1.84-2.03
Cu 0.1142 0.4757 0.7727  4 O 1.84-2.03
Cu 0.3443 0.7338 0.6245  4 O 1.89-1.98
Cu 0.3443 0.7662 0.1245  4 O 1.89-1.98
Cu 0.5000 0.0000 0.5000  4 O 1.85-1.92
Cu 0.5000 0.5000 0.0000  4 O 1.85-1.92
Cu 0.6557 0.2338 0.8755  4 O 1.89-1.98
Cu 0.6557 0.2662 0.3755  4 O 1.89-1.98
Cu 0.8858 0.5243 0.2273  4 O 1.84-2.03
Cu 0.8858 0.9757 0.7273  4 O 1.84-2.03
B 0.3121 0.7401 0.3722  3 O 1.38-1.39
B 0.3121 0.7599 0.8722  3 O 1.38-1.39
B 0.6879 0.2401 0.1278  3 O 1.38-1.39
B 0.6879 0.2599 0.6278  3 O 1.38-1.39
O 0.0105 0.5812 0.6452  3 Cu 1.84-1.90
O 0.0105 0.9188 0.1452  3 Cu 1.84-1.90
O 0.2499 0.6753 0.2687  1 B 1.38
O 0.2499 0.8247 0.7687  1 B 1.38
O 0.2725 0.1319 0.4032  3 Cu 1.85-1.92
O 0.2725 0.3681 0.9032  3 Cu 1.85-1.92
O 0.3082 0.6632 0.4695  1 B 1.38
O 0.3082 0.8368 0.9695  1 B 1.38
O 0.3972 0.6192 0.8724  1 B 1.39
O 0.3972 0.8808 0.3724  1 B 1.39
O 0.6028 0.1192 0.6276  1 B 1.39
O 0.6028 0.3808 0.1276  1 B 1.39
O 0.6918 0.1632 0.0305  1 B 1.38
O 0.6918 0.3368 0.5305  1 B 1.38
O 0.7275 0.6319 0.0968  3 Cu 1.85-1.92
O 0.7275 0.8681 0.5968  3 Cu 1.85-1.92
O 0.7501 0.1753 0.2313  1 B 1.38
O 0.7501 0.3247 0.7313  1 B 1.38
O 0.9895 0.0812 0.8548  3 Cu 1.84-1.90
O 0.9895 0.4188 0.3548  3 Cu 1.84-1.90


[3]
VASP calculation (PBE-GGA) on a geometry-optimized AlTeSe2 structure.

The calculation puts the uncorrected formation energy at -0.066 eV/atom. For the total energy, the calculation gives -14.1 eV for the cell shown. The distance to the lowest polymorph of the same formula is 377.8 meV per atom. The theoretical density comes out at 4.9 g/cm3.

abc: 4.0601 4.0601 8.0036
angles: 90.00 90.00 126.71
With the nearest neighbours (Å) after each atom.
Positions (direct):
Al 0.0000 0.0000 0.0000  4 Se 2.48
Te 0.0000 0.0000 0.5000  4 Se 2.95
Se 0.5000 0.5000 0.2104  2 Al 2.48
Se 0.5000 0.5000 0.7896  2 Al 2.48


[4]
VASP calculation (PBE-GGA) on a geometry-optimized TlPt2Pb structure.

Its energy relative to the elements is 0.036 eV per atom. For the total energy, the calculation gives -18.0 eV for the cell shown. The theoretical density comes out at 14.7 g/cm3.

abc: 4.0228 4.0228 6.7958
angles: 106.70 106.70 60.55
With the nearest neighbours (Å) after each atom.
Positions (direct):
Tl 0.0000 0.0000 0.0000  6 Pt 2.80-2.83
Pt 0.2502 0.2502 0.7513  3 Tl 2.80-2.83, 3 Pb 2.81-2.84
Pt 0.7498 0.7498 0.2487  3 Tl 2.80-2.83, 3 Pb 2.81-2.84
Pb 0.5000 0.5000 0.5000  6 Pt 2.81-2.84


[5]
VASP calculation (PBE-GGA) on a geometry-optimized La4Dy3Er2 structure.

Its energy relative to the elements is 0.084 eV per atom. For the total energy, the calculation gives -41.9 eV for the cell shown. The distance to the lowest polymorph of the same formula is 51.5 meV per atom. The theoretical density comes out at 7.3 g/cm3.

abc: 6.7643 6.7643 14.5368
angles: 115.15 115.15 31.56
With the nearest neighbours (Å) after each atom.
Positions (direct):
La 0.2191 0.2191 0.1066  5 Dy 3.49-3.66, 2 Er 3.57, 2 La 3.68
La 0.2752 0.2752 0.6280  3 Dy 3.64-3.71, 3 Er 3.66-3.67, 4 La 3.68-3.94
La 0.7248 0.7248 0.3720  3 Dy 3.64-3.71, 3 Er 3.66-3.67, 4 La 3.68-3.94
La 0.7809 0.7809 0.8934  5 Dy 3.49-3.66, 2 Er 3.57, 2 La 3.68
Dy 0.4940 0.4940 0.1123  3 Dy 3.34-3.68, 2 Er 3.40, 6 La 3.49-3.66
Dy 0.5000 0.5000 0.5000  4 Er 3.37, 2 Dy 3.68, 4 La 3.71
Dy 0.5060 0.5060 0.8877  3 Dy 3.34-3.68, 2 Er 3.40, 6 La 3.49-3.66
Er 0.0446 0.0446 0.7085  4 Dy 3.37-3.40, 5 La 3.57-3.67, 2 Er 3.68
Er 0.9554 0.9554 0.2915  4 Dy 3.37-3.40, 5 La 3.57-3.67, 2 Er 3.68


[6]
VASP calculation (PBE-GGA) on a geometry-optimized Ca2TaCuBr structure.

The calculation puts the uncorrected formation energy at 0.694 eV/atom. For the total energy, the calculation gives -18.2 eV for the cell shown. The theoretical density comes out at 4.8 g/cm3.

abc: 5.3658 5.3658 4.8215
angles: 90.00 90.00 90.00
With the nearest neighbours (Å) after each atom.
Positions (direct):
Ca 0.0000 0.5000 0.0000  2 Br 2.68
Ca 0.5000 0.0000 0.0000  2 Br 2.68
Ta 0.0000 0.0000 0.5000  2 Br 2.41
Cu 0.5000 0.5000 0.5000  8 Ca 3.61, 4 Ta 3.79
Br 0.0000 0.0000 0.0000  2 Ta 2.41, 4 Ca 2.68